1.
Below is Pt3Au at its PBEsol-relaxed geometry, with properties calculated at the SCAN level.

a b c (Å): 2.7476 2.7476 9.4995
angles (deg): 90.00 90.00 120.00
Last column: nearest neighbours and their distance in Å.
Fractional coordinates of all 4 atoms:
1 Pt 0.0000 0.0000 0.0000  12 Pt 2.75-2.82
2 Pt 0.6667 0.3333 0.2457  9 Pt 2.75-2.82, 3 Au 2.89
3 Pt 0.6667 0.3333 0.7543  9 Pt 2.75-2.82, 3 Au 2.89
4 Au 0.0000 0.0000 0.5000  6 Au 2.75, 6 Pt 2.89

Output
formation energy from the elements = 105 meV/atom
space group = P-6m2 (187)
size of the total moment = 0.00 μB/cell



2.
Below is SrHgPb2 at its PBEsol-relaxed geometry, with properties calculated at the SCAN level.

a b c (Å): 7.7880 7.7880 7.7880
angles (deg): 90.00 90.00 90.00
Last column: nearest neighbours and their distance in Å.
Fractional coordinates of all 16 atoms:
1 Sr 0.0000 0.0000 0.0000  4 Hg 3.37, 4 Pb 3.37
2 Sr 0.0000 0.5000 0.5000  4 Hg 3.37, 4 Pb 3.37
3 Sr 0.5000 0.0000 0.5000  4 Hg 3.37, 4 Pb 3.37
4 Sr 0.5000 0.5000 0.0000  4 Hg 3.37, 4 Pb 3.37
5 Hg 0.2500 0.2500 0.2500  4 Pb 3.37, 4 Sr 3.37
6 Hg 0.2500 0.7500 0.7500  4 Pb 3.37, 4 Sr 3.37
7 Hg 0.7500 0.2500 0.7500  4 Pb 3.37, 4 Sr 3.37
8 Hg 0.7500 0.7500 0.2500  4 Pb 3.37, 4 Sr 3.37
9 Pb 0.0000 0.0000 0.5000  4 Pb 3.37, 4 Hg 3.37
10 Pb 0.0000 0.5000 0.0000  4 Pb 3.37, 4 Hg 3.37
11 Pb 0.2500 0.2500 0.7500  4 Pb 3.37, 4 Sr 3.37
12 Pb 0.2500 0.7500 0.2500  4 Pb 3.37, 4 Sr 3.37
13 Pb 0.5000 0.0000 0.0000  4 Pb 3.37, 4 Hg 3.37
14 Pb 0.5000 0.5000 0.5000  4 Pb 3.37, 4 Hg 3.37
15 Pb 0.7500 0.2500 0.2500  4 Pb 3.37, 4 Sr 3.37
16 Pb 0.7500 0.7500 0.7500  4 Pb 3.37, 4 Sr 3.37

Output
formation energy from the elements = -468 meV/atom
space group = F-43m (216)
size of the total moment = 0.00 μB/cell



3.
Below is Cd3ReB at its PBEsol-relaxed geometry, with properties calculated at the SCAN level.

a b c (Å): 5.1250 5.1250 5.1250
angles (deg): 90.00 90.00 90.00
Last column: nearest neighbours and their distance in Å.
Fractional coordinates of all 5 atoms:
1 Cd 0.0000 0.0000 0.5000  2 Re 2.56
2 Cd 0.0000 0.5000 0.0000  2 Re 2.56
3 Cd 0.5000 0.0000 0.0000  2 Re 2.56
4 Re 0.0000 0.0000 0.0000  6 Cd 2.56
5 B 0.5000 0.5000 0.5000  12 Cd 3.62

Output
formation energy from the elements = 2006 meV/atom
space group = Pm-3m (221)
size of the total moment = 1.51 μB/cell



4.
Below is AlCdAu2 at its PBEsol-relaxed geometry, with properties calculated at the SCAN level.

a b c (Å): 3.1911 3.1911 6.6806
angles (deg): 90.00 90.00 90.00
Last column: nearest neighbours and their distance in Å.
Fractional coordinates of all 4 atoms:
1 Al 0.0000 0.0000 0.0000  8 Au 2.69
2 Cd 0.0000 0.0000 0.5000  8 Au 2.94, 4 Cd 3.19
3 Au 0.5000 0.5000 0.2182  4 Al 2.69, 1 Au 2.92, 4 Cd 2.94
4 Au 0.5000 0.5000 0.7818  4 Al 2.69, 1 Au 2.92, 4 Cd 2.94

Output
polymorph energy (0 for the lowest one) = 0 meV/atom
formation energy from the elements = -402 meV/atom
space group = P4/mmm (123)
size of the total moment = 0.00 μB/cell



5.
Below is CrMoRh2 at its PBEsol-relaxed geometry, with properties calculated at the SCAN level.

a b c (Å): 2.6772 4.2652 4.6694
angles (deg): 90.00 90.00 90.00
Last column: nearest neighbours and their distance in Å.
Fractional coordinates of all 4 atoms:
1 Cr 0.0000 0.0000 0.0000  8 Rh 2.61-2.69, 2 Mo 2.64, 2 Cr 2.68
2 Mo 0.0000 0.5000 0.6657  8 Rh 2.63-2.76, 2 Cr 2.64, 2 Mo 2.68
3 Rh 0.5000 0.0000 0.5007  4 Mo 2.63, 4 Rh 2.68-2.69, 4 Cr 2.69
4 Rh 0.5000 0.5000 0.1497  4 Cr 2.61, 4 Mo 2.63-2.76, 4 Rh 2.68-2.69

Output
polymorph energy (0 for the lowest one) = 39 meV/atom
formation energy from the elements = -132 meV/atom
space group = Pmm2 (25)
size of the total moment = 1.78 μB/cell



6.
Below is LaBiPF2 at its PBEsol-relaxed geometry, with properties calculated at the SCAN level.

a b c (Å): 4.4208 4.4208 6.2179
angles (deg): 90.00 90.00 90.00
Last column: nearest neighbours and their distance in Å.
Fractional coordinates of all 5 atoms:
1 La 0.0000 0.0000 0.0000  4 F 2.21
2 Bi 0.5000 0.5000 0.5000  4 P 3.13
3 P 0.0000 0.0000 0.5000  2 La 3.11, 4 Bi 3.13
4 F 0.0000 0.5000 0.0000  2 La 2.21
5 F 0.5000 0.0000 0.0000  2 La 2.21

Output
calculated total energy = -29.985 eV per atom
space group = P4/mmm (123)
size of the total moment = 0.37 μB/cell



7.
Below is LiPt2PbW at its PBEsol-relaxed geometry, with properties calculated at the SCAN level.

a b c (Å): 4.9501 4.9501 4.4364
angles (deg): 90.00 90.00 90.00
Last column: nearest neighbours and their distance in Å.
Fractional coordinates of all 5 atoms:
1 Li 0.0000 0.0000 0.0000  2 Pb 2.22
2 Pt 0.0000 0.5000 0.5000  2 Pb 2.48
3 Pt 0.5000 0.0000 0.5000  2 Pb 2.48
4 Pb 0.0000 0.0000 0.5000  2 Li 2.22, 4 Pt 2.48
5 W 0.5000 0.5000 0.0000  8 Pt 3.32, 4 Li 3.50

Output
formation energy from the elements = 1574 meV/atom
space group = P4/mmm (123)
size of the total moment = 3.72 μB/cell



8.
Below is KCa2Sb at its PBEsol-relaxed geometry, with properties calculated at the SCAN level.

a b c (Å): 7.3192 11.4252 3.6900
angles (deg): 90.00 116.48 90.00
Last column: nearest neighbours and their distance in Å.
Fractional coordinates of all 8 atoms:
1 K 0.0000 0.0000 0.0000  4 Ca 3.45, 2 Sb 3.66, 2 K 3.69
2 K 0.5000 0.5000 0.0000  4 Ca 3.45, 2 Sb 3.66, 2 K 3.69
3 Ca 0.2500 0.2500 0.5000  2 K 3.45, 2 Sb 3.45, 4 Ca 3.66-3.69
4 Ca 0.2500 0.7500 0.5000  2 Sb 3.45, 2 K 3.45, 4 Ca 3.66-3.69
5 Ca 0.7500 0.2500 0.5000  2 K 3.45, 2 Sb 3.45, 4 Ca 3.66-3.69
6 Ca 0.7500 0.7500 0.5000  2 K 3.45, 2 Sb 3.45, 4 Ca 3.66-3.69
7 Sb 0.0000 0.5000 0.0000  4 Ca 3.45, 2 K 3.66, 2 Sb 3.69
8 Sb 0.5000 0.0000 0.0000  4 Ca 3.45, 2 K 3.66, 2 Sb 3.69

Output
calculated total energy = -16.366 eV per atom
space group = C2/m (12)
size of the total moment = 2.68 μB/cell



9.
Below is BiPd3 at its PBEsol-relaxed geometry, with properties calculated at the SCAN level.

a b c (Å): 9.3778 5.7463 4.9946
angles (deg): 90.00 90.00 90.00
Last column: nearest neighbours and their distance in Å.
Fractional coordinates of all 16 atoms:
1 Bi 0.0000 0.0000 0.0000  12 Pd 2.87-2.93
2 Bi 0.2500 0.5000 0.3466  12 Pd 2.84-2.92
3 Bi 0.5000 0.0000 0.0000  12 Pd 2.87-2.93
4 Bi 0.7500 0.5000 0.6534  12 Pd 2.84-2.92
5 Pd 0.0000 0.2510 0.5000  8 Pd 2.85-2.89, 4 Bi 2.85-2.88
6 Pd 0.0000 0.5000 0.0000  8 Pd 2.87-2.88, 4 Bi 2.87-2.91
7 Pd 0.0000 0.7490 0.5000  8 Pd 2.85-2.89, 4 Bi 2.85-2.88
8 Pd 0.2500 0.0000 0.3521  8 Pd 2.82-2.95, 4 Bi 2.87-2.93
9 Pd 0.2500 0.2505 0.8372  8 Pd 2.82-2.95, 4 Bi 2.84-2.92
10 Pd 0.2500 0.7495 0.8372  8 Pd 2.82-2.95, 4 Bi 2.84-2.92
11 Pd 0.5000 0.2510 0.5000  8 Pd 2.85-2.89, 4 Bi 2.85-2.88
12 Pd 0.5000 0.5000 0.0000  8 Pd 2.87-2.88, 4 Bi 2.87-2.91
13 Pd 0.5000 0.7490 0.5000  8 Pd 2.85-2.89, 4 Bi 2.85-2.88
14 Pd 0.7500 0.0000 0.6479  8 Pd 2.82-2.95, 4 Bi 2.87-2.93
15 Pd 0.7500 0.2505 0.1628  8 Pd 2.82-2.95, 4 Bi 2.84-2.92
16 Pd 0.7500 0.7495 0.1628  8 Pd 2.82-2.95, 4 Bi 2.84-2.92

Output
formation energy from the elements = -206 meV/atom
space group = Pmma (51)
size of the total moment = 0.00 μB/cell



10.
Below is FeCo3 at its PBEsol-relaxed geometry, with properties calculated at the SCAN level.

a b c (Å): 2.4603 4.0289 4.2479
angles (deg): 90.00 90.00 90.00
Last column: nearest neighbours and their distance in Å.
Fractional coordinates of all 4 atoms:
1 Fe 0.0000 0.0000 0.0000  10 Co 2.45-2.47, 2 Fe 2.46
2 Co 0.0000 0.5000 0.6619  10 Co 2.44-2.47, 2 Fe 2.47
3 Co 0.5000 0.0000 0.5003  4 Fe 2.45-2.46, 8 Co 2.46
4 Co 0.5000 0.5000 0.1660  8 Co 2.44-2.47, 4 Fe 2.46

Output
formation energy from the elements = 77 meV/atom
space group = Pmm2 (25)
size of the total moment = 7.78 μB/cell



11.
Below is AuCS2 at its PBEsol-relaxed geometry, with properties calculated at the SCAN level.

a b c (Å): 4.0092 4.0092 17.2835
angles (deg): 90.00 90.00 120.00
Last column: nearest neighbours and their distance in Å.
Fractional coordinates of all 12 atoms:
1 Au 0.0000 0.0000 0.0000  6 S 2.66
2 Au 0.3333 0.6667 0.6667  6 S 2.66
3 Au 0.6667 0.3333 0.3333  6 S 2.66
4 C 0.0000 0.0000 0.5000  2 S 1.58
5 C 0.3333 0.6667 0.1667  2 S 1.58
6 C 0.6667 0.3333 0.8333  2 S 1.58
7 S 0.0000 0.0000 0.4087  1 C 1.58
8 S 0.0000 0.0000 0.5913  1 C 1.58
9 S 0.3333 0.6667 0.0753  1 C 1.58
10 S 0.3333 0.6667 0.2580  1 C 1.58
11 S 0.6667 0.3333 0.7420  1 C 1.58
12 S 0.6667 0.3333 0.9247  1 C 1.58

Output
calculated total energy = -24.027 eV per atom
space group = R-3m (166)
size of the total moment = 0.00 μB/cell



12.
Below is ScIF3 at its PBEsol-relaxed geometry, with properties calculated at the SCAN level.

a b c (Å): 4.7455 4.7455 4.7455
angles (deg): 90.00 90.00 90.00
Last column: nearest neighbours and their distance in Å.
Fractional coordinates of all 5 atoms:
1 Sc 0.0000 0.0000 0.0000  12 F 3.36
2 I 0.5000 0.5000 0.5000  6 F 2.37
3 F 0.0000 0.5000 0.5000  2 I 2.37
4 F 0.5000 0.0000 0.5000  2 I 2.37
5 F 0.5000 0.5000 0.0000  2 I 2.37

Output
calculated total energy = -13.014 eV per atom
space group = Pm-3m (221)
size of the total moment = 1.42 μB/cell



13.
Below is ZnHOsRu2 at its PBEsol-relaxed geometry, with properties calculated at the SCAN level.

a b c (Å): 4.6798 4.6798 2.8332
angles (deg): 90.00 90.00 90.00
Last column: nearest neighbours and their distance in Å.
Fractional coordinates of all 5 atoms:
1 Zn 0.0000 0.0000 0.0000  2 H 1.42
2 H 0.0000 0.0000 0.5000  2 Zn 1.42
3 Os 0.5000 0.5000 0.5000  8 Ru 2.74, 2 Os 2.83
4 Ru 0.0000 0.5000 0.0000  2 Zn 2.34
5 Ru 0.5000 0.0000 0.0000  2 Zn 2.34

Output
calculated total energy = -30.565 eV per atom
space group = P4/mmm (123)
size of the total moment = 2.08 μB/cell



14.
Below is Ca2ScRe at its PBEsol-relaxed geometry, with properties calculated at the SCAN level.

a b c (Å): 3.5011 3.5011 8.3382
angles (deg): 90.00 90.00 90.00
Last column: nearest neighbours and their distance in Å.
Fractional coordinates of all 4 atoms:
1 Ca 0.0000 0.0000 0.0000  1 Re 3.33, 4 Sc 3.35, 4 Ca 3.50
2 Ca 0.5000 0.5000 0.3654  1 Sc 3.03, 4 Re 3.16
3 Sc 0.5000 0.5000 0.7287  4 Re 2.70
4 Re 0.0000 0.0000 0.6005  4 Sc 2.70

Output
formation energy from the elements = 292 meV/atom
space group = P4mm (99)
size of the total moment = 0.15 μB/cell



15.
Below is Al2CdAs at its PBEsol-relaxed geometry, with properties calculated at the SCAN level.

a b c (Å): 3.1454 3.1454 7.4493
angles (deg): 90.00 90.00 90.00
Last column: nearest neighbours and their distance in Å.
Fractional coordinates of all 4 atoms:
1 Al 0.0000 0.0000 0.2247  4 As 2.78, 4 Cd 3.03
2 Al 0.0000 0.0000 0.7753  4 As 2.78, 4 Cd 3.03
3 Cd 0.5000 0.5000 0.5000  8 Al 3.03, 4 Cd 3.15
4 As 0.5000 0.5000 0.0000  8 Al 2.78

Output
polymorph energy (0 for the lowest one) = 6 meV/atom
formation energy from the elements = 133 meV/atom
space group = P4/mmm (123)
size of the total moment = 0.00 μB/cell



16.
Below is Ba2Pt3 at its PBEsol-relaxed geometry, with properties calculated at the SCAN level.

a b c (Å): 4.3956 4.3956 24.7951
angles (deg): 90.00 90.00 120.00
Last column: nearest neighbours and their distance in Å.
Fractional coordinates of all 15 atoms:
1 Ba 0.0000 0.0000 0.0911  9 Pt 3.16-3.40
2 Ba 0.0000 0.0000 0.9089  9 Pt 3.16-3.40
3 Ba 0.3333 0.6667 0.5756  9 Pt 3.16-3.40
4 Ba 0.3333 0.6667 0.7577  9 Pt 3.16-3.40
5 Ba 0.6667 0.3333 0.2423  9 Pt 3.16-3.40
6 Ba 0.6667 0.3333 0.4244  9 Pt 3.16-3.40
7 Pt 0.0000 0.0000 0.3333  3 Pt 2.54
8 Pt 0.0000 0.0000 0.5000  6 Ba 3.16
9 Pt 0.0000 0.0000 0.6667  3 Pt 2.54
10 Pt 0.3333 0.6667 0.0000  3 Pt 2.54
11 Pt 0.3333 0.6667 0.1667  6 Ba 3.16
12 Pt 0.3333 0.6667 0.3333  3 Pt 2.54
13 Pt 0.6667 0.3333 0.0000  3 Pt 2.54
14 Pt 0.6667 0.3333 0.6667  3 Pt 2.54
15 Pt 0.6667 0.3333 0.8333  6 Ba 3.16

Output
formation energy from the elements = -820 meV/atom
space group = R-3m (166)
size of the total moment = 0.00 μB/cell



17.
Below is MnO2 at its PBEsol-relaxed geometry, with properties calculated at the SCAN level.

a b c (Å): 2.8445 2.8445 15.7015
angles (deg): 90.00 90.00 120.00
Last column: nearest neighbours and their distance in Å.
Fractional coordinates of all 9 atoms:
1 Mn 0.0000 0.0000 0.0000  6 O 1.90
2 Mn 0.3333 0.6667 0.6667  6 O 1.90
3 Mn 0.6667 0.3333 0.3333  6 O 1.90
4 O 0.0000 0.0000 0.3939  3 Mn 1.90
5 O 0.0000 0.0000 0.6061  3 Mn 1.90
6 O 0.3333 0.6667 0.0606  3 Mn 1.90
7 O 0.3333 0.6667 0.2727  3 Mn 1.90
8 O 0.6667 0.3333 0.7273  3 Mn 1.90
9 O 0.6667 0.3333 0.9394  3 Mn 1.90

Output
calculated total energy = -12.280 eV per atom
space group = R-3m (166)
size of the total moment = 8.99 μB/cell



18.
Below is ZnAs2IrRh at its PBEsol-relaxed geometry, with properties calculated at the SCAN level.

a b c (Å): 4.5940 4.5940 5.0263
angles (deg): 90.00 90.00 90.00
Last column: nearest neighbours and their distance in Å.
Fractional coordinates of all 5 atoms:
1 Zn 0.0000 0.0000 0.0000  4 Rh 3.25, 8 As 3.40
2 As 0.0000 0.5000 0.5000  2 Ir 2.30
3 As 0.5000 0.0000 0.5000  2 Ir 2.30
4 Ir 0.5000 0.5000 0.5000  4 As 2.30, 2 Rh 2.51
5 Rh 0.5000 0.5000 0.0000  2 Ir 2.51

Output
formation energy from the elements = 842 meV/atom
space group = P4/mmm (123)
size of the total moment = 1.19 μB/cell



19.
Below is MgReTc2 at its PBEsol-relaxed geometry, with properties calculated at the SCAN level.

a b c (Å): 2.9552 4.4689 9.0640
angles (deg): 90.00 90.00 90.00
Last column: nearest neighbours and their distance in Å.
Fractional coordinates of all 8 atoms:
1 Mg 0.0000 0.0000 0.0000  6 Mg 2.68-2.96, 4 Tc 2.78
2 Mg 0.5000 0.5000 0.0000  6 Mg 2.68-2.96, 4 Tc 2.78
3 Re 0.0000 0.0000 0.5000  4 Tc 2.63, 4 Re 2.68
4 Re 0.5000 0.5000 0.5000  4 Tc 2.63, 4 Re 2.68
5 Tc 0.0000 0.5000 0.2596  2 Re 2.63, 4 Tc 2.68, 2 Mg 2.78
6 Tc 0.0000 0.5000 0.7404  2 Re 2.63, 4 Tc 2.68, 2 Mg 2.78
7 Tc 0.5000 0.0000 0.2596  2 Re 2.63, 4 Tc 2.68, 2 Mg 2.78
8 Tc 0.5000 0.0000 0.7404  2 Re 2.63, 4 Tc 2.68, 2 Mg 2.78

Output
formation energy from the elements = 188 meV/atom
space group = Cmmm (65)
size of the total moment = 0.00 μB/cell



20.
Below is Mg2InCu at its PBEsol-relaxed geometry, with properties calculated at the SCAN level.

a b c (Å): 3.2283 4.3971 5.5570
angles (deg): 90.00 105.74 90.00
Last column: nearest neighbours and their distance in Å.
Fractional coordinates of all 4 atoms:
1 Mg 0.0000 0.0000 0.0000  4 Cu 2.88-2.90, 3 In 2.91-2.93, 4 Mg 3.21-3.23
2 Mg 0.3234 0.5000 0.6701  1 Cu 2.72, 4 In 2.95-2.97
3 In 0.7199 0.0000 0.4550  2 Cu 2.65, 7 Mg 2.91-2.97
4 Cu 0.5864 0.5000 0.1784  2 In 2.65, 5 Mg 2.72-2.90

Output
formation energy from the elements = -100 meV/atom
space group = Pm (6)
size of the total moment = 0.00 μB/cell